VASP calculation (PBE) on a relaxed LiZn2Se crystal.

Cell: 4.732 4.732 4.732 Å, 60.00 60.00 60.00°
Fractional positions:
Zn  0.250  0.250  0.250
Zn  0.750  0.750  0.750
Se  0.500  0.500  0.500
Li  0.000  0.000  0.000

Summary:
Uncorrected energy, eV per cell: -8.02
ΔE_f (raw), meV/atom: -19
Excess energy over the best structure of this formula in the dataset, meV per atom: 390


VASP calculation (PBE) on a relaxed VSIN2 crystal.

Cell: 3.790 3.790 6.026 Å, 90.00 90.00 90.00°
Site moments in Bohr magnetons follow the coordinates.
Fractional positions:
I  0.000  0.000  0.500  0.02
S  0.500  0.500  0.500  0.02
N  0.000  0.500  0.000  0.28
N  0.500  0.000  0.000  0.28
V  0.000  0.000  0.000  -0.28

Summary:
Uncorrected energy, eV per cell: -28.02
ΔE_f (raw), meV/atom: 685
Excess energy over the best structure of this formula in the dataset, meV per atom: 80


VASP calculation (PBE) on a relaxed Dy2Y2Ru crystal.

Cell: 7.348 6.998 7.817 Å, 73.71 57.69 58.33°
Fractional positions:
Dy  0.830  0.000  0.398
Dy  0.648  0.000  0.096
Dy  0.352  0.000  0.904
Dy  0.170  0.000  0.602
Y  0.572  0.446  0.754
Y  0.428  0.554  0.246
Y  0.019  0.554  0.754
Y  0.981  0.446  0.246
Ru  0.125  0.749  0.000
Ru  0.875  0.251  0.000

Summary:
Uncorrected energy, eV per cell: -64.46
E_form, meV per atom: -164.4


VASP calculation (PBE) on a relaxed Tl4PbAu crystal.

Cell: 5.537 6.727 10.337 Å, 90.00 90.00 114.30°
Fractional positions:
Tl  0.006  0.012  0.804
Tl  0.994  0.988  0.304
Tl  0.535  0.071  0.050
Tl  0.465  0.929  0.550
Tl  0.182  0.364  0.550
Tl  0.818  0.636  0.050
Tl  0.315  0.630  0.856
Tl  0.685  0.370  0.356
Pb  0.316  0.632  0.247
Pb  0.684  0.368  0.747
Au  0.135  0.270  0.060
Au  0.865  0.730  0.560

Summary:
Uncorrected energy, eV per cell: -32.90
Excess energy over the best structure of this formula in the dataset, meV per atom: 0
E_form, meV per atom: 0.3


VASP calculation (PBE) on a relaxed CaVH crystal.

Cell: 3.339 3.374 8.896 Å, 92.31 90.01 90.00°
Fractional positions:
H  0.189  0.773  0.121
H  0.190  0.148  0.498
Ca  0.690  0.655  0.542
Ca  0.189  0.188  0.927
V  0.689  0.638  0.196
V  0.189  0.123  0.290

Summary:
Uncorrected energy, eV per cell: -29.00
Excess energy over the best structure of this formula in the dataset, meV per atom: 81


VASP calculation (PBE) on a relaxed FeNi6Ge crystal.

Cell: 3.564 3.564 7.110 Å, 90.00 90.00 90.00°
Site moments in Bohr magnetons follow the coordinates.
Fractional positions:
Fe  0.000  0.000  0.500  2.96
Ni  0.500  0.500  0.000  0.25
Ni  0.500  0.500  0.500  0.62
Ni  0.500  0.000  0.253  0.43
Ni  0.500  0.000  0.747  0.43
Ni  0.000  0.500  0.253  0.43
Ni  0.000  0.500  0.747  0.43
Ge  0.000  0.000  0.000  -0.02

Summary:
Uncorrected energy, eV per cell: -49.13
Excess energy over the best structure of this formula in the dataset, meV per atom: 0
E_form, meV per atom: -170.1


VASP calculation (PBE) on a relaxed RbLiZnPbSe crystal.

Cell: 7.687 4.718 8.729 Å, 90.00 99.73 90.00°
Fractional positions:
Rb  0.755  0.000  0.524
Rb  0.755  0.500  0.024
Li  0.346  0.000  0.242
Li  0.346  0.500  0.742
Zn  0.225  0.000  0.575
Zn  0.225  0.500  0.075
Pb  0.144  0.000  0.900
Pb  0.144  0.500  0.400
Se  0.494  0.000  0.801
Se  0.494  0.500  0.301

Summary:
Uncorrected energy, eV per cell: -27.57
ΔE_f (raw), meV/atom: -488
Excess energy over the best structure of this formula in the dataset, meV per atom: 82


VASP calculation (PBE) on a relaxed HoAgPd crystal.

Cell: 4.630 4.630 4.630 Å, 60.00 60.00 60.00°
Fractional positions:
Pd  0.250  0.250  0.250
Ho  0.000  0.000  0.000
Ag  0.500  0.500  0.500

Summary:
Uncorrected energy, eV per cell: -14.05
Excess energy over the best structure of this formula in the dataset, meV per atom: 147
E_form, meV per atom: -474.4


VASP calculation (PBE) on a relaxed Fe2CuMo crystal.

Cell: 4.554 4.554 4.554 Å, 133.06 133.06 68.56°
Site moments in Bohr magnetons follow the coordinates.
Fractional positions:
Cu  0.750  0.250  0.500  0.00
Fe  0.000  0.000  0.000  1.80
Fe  0.250  0.750  0.500  1.43
Mo  0.500  0.500  0.000  -0.49

Summary:
Uncorrected energy, eV per cell: -31.09
Excess energy over the best structure of this formula in the dataset, meV per atom: 40
E_form, meV per atom: 189.8


VASP calculation (PBE) on a relaxed TlAg2PF8 crystal.

Cell: 5.017 5.017 8.259 Å, 90.00 90.00 120.00°
Fractional positions:
Tl  0.000  0.000  0.500
Ag  0.667  0.333  0.296
Ag  0.333  0.667  0.704
P  0.000  0.000  0.000
F  0.847  0.694  0.884
F  0.306  0.153  0.884
F  0.847  0.153  0.884
F  0.153  0.306  0.116
F  0.694  0.847  0.116
F  0.153  0.847  0.116
F  0.667  0.333  0.562
F  0.333  0.667  0.438

Summary:
Uncorrected energy, eV per cell: -50.72
ΔE_f (raw), meV/atom: -1856


VASP calculation (PBE) on a relaxed La2Mg3Cd4 crystal.

Cell: 6.224 8.778 9.103 Å, 90.00 109.99 90.00°
Fractional positions:
La  0.102  0.599  0.204
La  0.898  0.401  0.796
La  0.398  0.099  0.796
La  0.602  0.901  0.204
Mg  0.000  0.000  0.000
Mg  0.500  0.500  0.000
Mg  0.519  0.750  0.538
Mg  0.981  0.250  0.462
Mg  0.481  0.250  0.462
Mg  0.019  0.750  0.538
Cd  0.687  0.750  0.875
Cd  0.813  0.250  0.125
Cd  0.313  0.250  0.125
Cd  0.187  0.750  0.875
Cd  0.178  0.980  0.356
Cd  0.822  0.020  0.644
Cd  0.322  0.480  0.644
Cd  0.678  0.520  0.356

Summary:
Uncorrected energy, eV per cell: -40.75
Excess energy over the best structure of this formula in the dataset, meV per atom: 29
E_form, meV per atom: -230.9